(1)
First-principles (meta-GGA SCAN) data for a PBEsol-optimized structure of K5Dy3I12, as listed in the Alexandria database.

abc: 14.507 14.507 4.276
angles: 90.00 90.00 120.00
Fractional coordinates of all 20 atoms:
1 K 0.000 0.722 0.000
2 K 0.278 0.278 0.000
3 K 0.333 0.667 0.000
4 K 0.667 0.333 0.000
5 K 0.722 0.000 0.000
6 Dy 0.000 0.327 0.500
7 Dy 0.327 0.000 0.500
8 Dy 0.673 0.673 0.500
9 I 0.000 0.175 0.000
10 I 0.000 0.476 0.000
11 I 0.175 0.000 0.000
12 I 0.205 0.760 0.500
13 I 0.240 0.445 0.500
14 I 0.445 0.240 0.500
15 I 0.476 0.000 0.000
16 I 0.524 0.524 0.000
17 I 0.555 0.795 0.500
18 I 0.760 0.205 0.500
19 I 0.795 0.555 0.500
20 I 0.825 0.825 0.000

Space group: P-62m (189)
Energy relative to the elements, uncorrected in eV per atom: -1.50
DOS at the Fermi energy in states/eV per cell: 3.4


(2)
First-principles (meta-GGA SCAN) data for a PBEsol-optimized structure of Dy3In5, as listed in the Alexandria database.

abc: 6.283 6.283 10.164
angles: 90.00 90.00 78.15
Fractional coordinates of all 16 atoms:
1 Dy 0.118 0.882 0.750
2 Dy 0.295 0.295 0.000
3 Dy 0.295 0.295 0.500
4 Dy 0.705 0.705 0.000
5 Dy 0.705 0.705 0.500
6 Dy 0.882 0.118 0.250
7 In 0.005 0.430 0.750
8 In 0.194 0.806 0.044
9 In 0.194 0.806 0.456
10 In 0.430 0.005 0.250
11 In 0.497 0.503 0.250
12 In 0.503 0.497 0.750
13 In 0.570 0.995 0.750
14 In 0.806 0.194 0.544
15 In 0.806 0.194 0.956
16 In 0.995 0.570 0.250

Space group: Cmcm (63)
DOS at the Fermi energy in states/eV per cell: 7.7
E_tot in eV per atom: -39.41


(3)
First-principles (meta-GGA SCAN) data for a PBEsol-optimized structure of Dy5In3, as listed in the Alexandria database.

abc: 9.025 9.025 9.025
angles: 96.07 96.07 142.03
Fractional coordinates of all 16 atoms:
1 Dy 0.083 0.780 0.863
2 Dy 0.220 0.083 0.303
3 Dy 0.250 0.750 0.500
4 Dy 0.280 0.583 0.863
5 Dy 0.417 0.280 0.697
6 Dy 0.583 0.720 0.303
7 Dy 0.720 0.417 0.137
8 Dy 0.750 0.250 0.500
9 Dy 0.780 0.917 0.697
10 Dy 0.917 0.220 0.137
11 In 0.162 0.338 0.500
12 In 0.250 0.250 0.000
13 In 0.338 0.838 0.177
14 In 0.662 0.162 0.823
15 In 0.750 0.750 0.000
16 In 0.838 0.662 0.500

Space group: I4/mcm (140)
DOS at the Fermi energy in states/eV per cell: 11.1
E_tot in eV per atom: -42.94


(4)
First-principles (meta-GGA SCAN) data for a PBEsol-optimized structure of DyInIr, as listed in the Alexandria database.

abc: 7.389 7.389 3.908
angles: 90.00 90.00 120.00
Fractional coordinates of all 9 atoms:
1 Dy 0.000 0.406 0.000
2 Dy 0.406 0.000 0.000
3 Dy 0.594 0.594 0.000
4 In 0.000 0.743 0.500
5 In 0.257 0.257 0.500
6 In 0.743 0.000 0.500
7 Ir 0.000 0.000 0.000
8 Ir 0.333 0.667 0.500
9 Ir 0.667 0.333 0.500

Space group: P-62m (189)
DOS at the Fermi energy in states/eV per cell: 5.9
E_tot in eV per atom: -51.62


(5)
First-principles (meta-GGA SCAN) data for a PBEsol-optimized structure of Dy4InIr, as listed in the Alexandria database.

abc: 9.496 9.496 9.496
angles: 60.00 60.00 60.00
Fractional coordinates of all 24 atoms:
1 Dy 0.190 0.190 0.810
2 Dy 0.190 0.810 0.190
3 Dy 0.190 0.810 0.810
4 Dy 0.401 0.401 0.401
5 Dy 0.401 0.401 0.798
6 Dy 0.401 0.798 0.401
7 Dy 0.559 0.559 0.941
8 Dy 0.559 0.941 0.559
9 Dy 0.559 0.941 0.941
10 Dy 0.798 0.401 0.401
11 Dy 0.810 0.190 0.190
12 Dy 0.810 0.190 0.810
13 Dy 0.810 0.810 0.190
14 Dy 0.941 0.559 0.559
15 Dy 0.941 0.559 0.941
16 Dy 0.941 0.941 0.559
17 In 0.167 0.167 0.167
18 In 0.167 0.167 0.498
19 In 0.167 0.498 0.167
20 In 0.498 0.167 0.167
21 Ir 0.175 0.608 0.608
22 Ir 0.608 0.175 0.608
23 Ir 0.608 0.608 0.175
24 Ir 0.608 0.608 0.608

Space group: F-43m (216)
DOS at the Fermi energy in states/eV per cell: 13.5
E_tot in eV per atom: -50.01


(6)
First-principles (meta-GGA SCAN) data for a PBEsol-optimized structure of LiDyIn2, as listed in the Alexandria database.

abc: 5.039 5.039 5.039
angles: 60.00 60.00 60.00
Fractional coordinates of all 4 atoms:
1 Li 0.000 0.000 0.000
2 Dy 0.500 0.500 0.500
3 In 0.250 0.250 0.250
4 In 0.750 0.750 0.750

Space group: Fm-3m (225)
DOS at the Fermi energy in states/eV per cell: 0.9
E_tot in eV per atom: -29.76


(7)
First-principles (meta-GGA SCAN) data for a PBEsol-optimized structure of DyLuIn2, as listed in the Alexandria database.

abc: 5.176 5.176 5.176
angles: 60.00 60.00 60.00
Fractional coordinates of all 4 atoms:
1 Dy 0.000 0.000 0.000
2 Lu 0.500 0.500 0.500
3 In 0.250 0.250 0.250
4 In 0.750 0.750 0.750

Space group: Fm-3m (225)
DOS at the Fermi energy in states/eV per cell: 2.0
E_tot in eV per atom: -43.05


(8)
First-principles (meta-GGA SCAN) data for a PBEsol-optimized structure of DyMgIn, as listed in the Alexandria database.

abc: 7.428 7.428 4.616
angles: 90.00 90.00 120.00
Fractional coordinates of all 9 atoms:
1 Dy 0.000 0.565 0.000
2 Dy 0.435 0.435 0.000
3 Dy 0.565 0.000 0.000
4 Mg 0.000 0.242 0.500
5 Mg 0.242 0.000 0.500
6 Mg 0.758 0.758 0.500
7 In 0.000 0.000 0.000
8 In 0.333 0.667 0.500
9 In 0.667 0.333 0.500

Space group: P-62m (189)
DOS at the Fermi energy in states/eV per cell: 1.0
E_tot in eV per atom: -29.24


(9)
First-principles (meta-GGA SCAN) data for a PBEsol-optimized structure of Dy3InN, as listed in the Alexandria database.

abc: 4.750 4.750 4.750
angles: 90.00 90.00 90.00
Fractional coordinates of all 5 atoms:
1 Dy 0.000 0.000 0.500
2 Dy 0.000 0.500 0.000
3 Dy 0.500 0.000 0.000
4 In 0.500 0.500 0.500
5 N 0.000 0.000 0.000

Space group: Pm-3m (221)
Energy relative to the elements, uncorrected in eV per atom: -1.21
DOS at the Fermi energy in states/eV per cell: 1.8


(10)
First-principles (meta-GGA SCAN) data for a PBEsol-optimized structure of NdDyIn2, as listed in the Alexandria database.

abc: 5.301 5.301 5.301
angles: 60.00 60.00 60.00
Fractional coordinates of all 4 atoms:
1 Nd 0.000 0.000 0.000
2 Dy 0.500 0.500 0.500
3 In 0.250 0.250 0.250
4 In 0.750 0.750 0.750

Space group: Fm-3m (225)
DOS at the Fermi energy in states/eV per cell: 1.8
E_tot in eV per atom: -40.17


(11)
First-principles (meta-GGA SCAN) data for a PBEsol-optimized structure of Dy5In4Ni2, as listed in the Alexandria database.

abc: 7.818 17.665 3.552
angles: 90.00 90.00 90.00
Fractional coordinates of all 22 atoms:
1 Dy 0.000 0.000 0.000
2 Dy 0.117 0.413 0.000
3 Dy 0.248 0.222 0.000
4 Dy 0.252 0.722 0.000
5 Dy 0.383 0.913 0.000
6 Dy 0.500 0.500 0.000
7 Dy 0.617 0.087 0.000
8 Dy 0.748 0.278 0.000
9 Dy 0.752 0.778 0.000
10 Dy 0.883 0.587 0.000
11 In 0.069 0.848 0.500
12 In 0.207 0.570 0.500
13 In 0.293 0.070 0.500
14 In 0.431 0.348 0.500
15 In 0.569 0.652 0.500
16 In 0.707 0.930 0.500
17 In 0.793 0.430 0.500
18 In 0.931 0.152 0.500
19 Ni 0.027 0.304 0.500
20 Ni 0.473 0.804 0.500
21 Ni 0.527 0.196 0.500
22 Ni 0.973 0.696 0.500

Space group: Pbam (55)
DOS at the Fermi energy in states/eV per cell: 12.2
E_tot in eV per atom: -37.45


(12)
First-principles (meta-GGA SCAN) data for a PBEsol-optimized structure of DyInPd2, as listed in the Alexandria database.

abc: 4.719 4.719 4.719
angles: 60.00 60.00 60.00
Fractional coordinates of all 4 atoms:
1 Dy 0.000 0.000 0.000
2 In 0.500 0.500 0.500
3 Pd 0.250 0.250 0.250
4 Pd 0.750 0.750 0.750

Space group: Fm-3m (225)
DOS at the Fermi energy in states/eV per cell: 1.9
E_tot in eV per atom: -37.57